# 1
Dy4FeBi | PBE-GGA | relaxed

Cell: 6.0616 8.7104 7.9808 Å, 114.98 101.68 108.97°
Fractional positions:
Dy  0.0660  0.2032  0.8555
Dy  0.7921  0.7327  0.6770
Dy  0.2895  0.6523  0.8555
Dy  0.3849  0.9443  0.6770
Dy  0.6151  0.0557  0.3230
Dy  0.7105  0.3477  0.1445
Dy  0.2079  0.2673  0.3230
Dy  0.9340  0.7968  0.1445
Fe  0.2506  0.0006  0.0012
Fe  0.7494  0.9994  0.9988
Bi  0.3784  0.6284  0.2569
Bi  0.6216  0.3716  0.7431

Total magnetic moment, μB per cell: 0.000
DOS(E_F), states/eV/atom: 0.724
Final energy, eV/f.u.: -32.61

# 2
Dy6FeBi3 | PBE-GGA | relaxed

Cell: 7.5766 9.2015 9.2015 Å, 102.85 90.00 90.00°
Fractional positions:
Dy  0.1788  0.7033  0.6272
Dy  0.6788  0.6272  0.7033
Dy  0.1598  0.3885  0.9076
Dy  0.6598  0.9076  0.3885
Dy  0.2417  0.0124  0.9876
Dy  0.7185  0.2417  0.7583
Dy  0.2185  0.7583  0.2417
Dy  0.7417  0.9876  0.0124
Dy  0.1598  0.0924  0.6115
Dy  0.6598  0.6115  0.0924
Dy  0.1788  0.3728  0.2967
Dy  0.6788  0.2967  0.3728
Fe  0.9865  0.1312  0.8688
Fe  0.4865  0.8688  0.1312
Bi  0.4948  0.9292  0.7043
Bi  0.9948  0.7043  0.9292
Bi  0.3717  0.3908  0.6092
Bi  0.8717  0.6092  0.3908
Bi  0.9948  0.0708  0.2957
Bi  0.4948  0.2957  0.0708

Total magnetic moment, μB per cell: 0.002
DOS(E_F), states/eV/atom: 0.938
Final energy, eV/f.u.: -50.21

# 3
Dy12FeBi6 | PBE-GGA | relaxed

Cell: 8.6249 8.6249 8.6249 Å, 99.59 99.59 99.59°
Fractional positions:
Dy  0.7979  0.5871  0.4594
Dy  0.4594  0.7979  0.5871
Dy  0.5871  0.4594  0.7979
Dy  0.2021  0.4129  0.5406
Dy  0.5406  0.2021  0.4129
Dy  0.4129  0.5406  0.2021
Dy  0.0541  0.9999  0.3026
Dy  0.0001  0.6974  0.9459
Dy  0.6974  0.9459  0.0001
Dy  0.9459  0.0001  0.6974
Dy  0.9999  0.3026  0.0541
Dy  0.3026  0.0541  0.9999
Fe  0.0000  0.0000  0.0000
Bi  0.6813  0.8841  0.3486
Bi  0.6514  0.3187  0.1159
Bi  0.1159  0.6514  0.3187
Bi  0.3187  0.1159  0.6514
Bi  0.3486  0.6813  0.8841
Bi  0.8841  0.3486  0.6813

Total magnetic moment, μB per cell: 0.001
DOS(E_F), states/eV/atom: 0.691
Final energy, eV/f.u.: -94.97

# 4
Dy18MnFe2Bi6 | PBE-GGA | relaxed

Cell: 22.0312 22.0312 4.2280 Å, 90.00 90.00 158.23°
Last column: magnetic moment on the atom in μB.
Fractional positions:
Dy  0.2325  0.2325  0.0000  -0.38
Dy  0.8976  0.5641  0.0000  -0.22
Dy  0.5641  0.8976  0.0000  -0.22
Dy  0.5133  0.2566  0.0000  -0.23
Dy  0.1803  0.5905  0.0000  -0.22
Dy  0.8436  0.9214  0.0000  -0.37
Dy  0.9214  0.8436  0.0000  -0.37
Dy  0.5905  0.1803  0.0000  -0.22
Dy  0.2566  0.5133  0.0000  -0.23
Dy  0.6054  0.6054  0.5000  -0.24
Dy  0.2744  0.9407  0.5000  -0.10
Dy  0.9407  0.2744  0.5000  -0.10
Dy  0.2613  0.1301  0.5000  -0.22
Dy  0.9292  0.4649  0.5000  -0.10
Dy  0.5960  0.7985  0.5000  -0.14
Dy  0.7985  0.5960  0.5000  -0.14
Dy  0.4649  0.9292  0.5000  -0.10
Dy  0.1301  0.2613  0.5000  -0.22
Mn  0.9988  0.9988  0.5000  2.47
Fe  0.6666  0.3333  0.5000  1.63
Fe  0.3333  0.6666  0.5000  1.63
Bi  0.1121  0.8893  0.0000  0.00
Bi  0.7782  0.2229  0.0000  0.00
Bi  0.4431  0.5549  0.0000  -0.01
Bi  0.5549  0.4431  0.0000  -0.01
Bi  0.2229  0.7782  0.0000  0.00
Bi  0.8893  0.1121  0.0000  0.00

Total magnetic moment, μB per cell: 0.706
DOS(E_F), states/eV/atom: 0.668
Final energy, eV/f.u.: -143.47